Entry 1:
VASP calculation (PBE-GGA) on USO after structural relaxation.

a b c (Å): 3.793 3.793 6.742
angles (deg): 90.00 90.00 90.00
Fractional positions:
U (0.250, 0.250, 0.201)
U (0.750, 0.750, 0.799)
S (0.250, 0.250, 0.634)
S (0.750, 0.750, 0.366)
O (0.250, 0.750, 0.000)
O (0.750, 0.250, 0.000)

## Properties
symmetry	No. 129
formation energy without anion corrections	-2381	meV per atom

Entry 2:
VASP calculation (PBE-GGA) on Pm8NdHo5 after structural relaxation.

a b c (Å): 8.550 8.550 8.550
angles (deg): 111.54 111.54 105.42
Fractional positions:
Pm (0.085, 0.675, 0.766)
Pm (0.176, 0.281, 0.756)
Pm (0.325, 0.091, 0.411)
Pm (0.525, 0.421, 0.244)
Pm (0.579, 0.824, 0.105)
Pm (0.680, 0.915, 0.589)
Pm (0.719, 0.475, 0.895)
Pm (0.909, 0.320, 0.234)
Nd (0.000, 0.000, 0.000)
Ho (0.213, 0.618, 0.185)
Ho (0.382, 0.568, 0.595)
Ho (0.432, 0.027, 0.815)
Ho (0.750, 0.250, 0.500)
Ho (0.973, 0.787, 0.405)

## Properties
symmetry	No. 82
DFT formation energy	0.240	eV per atom

Entry 3:
VASP calculation (PBE-GGA) on DyHo2Ga2 after structural relaxation.

a b c (Å): 7.945 7.945 6.211
angles (deg): 90.00 90.00 141.04
Fractional positions:
Dy (0.090, 0.910, 0.500)
Dy (0.910, 0.090, 0.000)
Ho (0.297, 0.703, 0.748)
Ho (0.457, 0.543, 0.325)
Ho (0.543, 0.457, 0.825)
Ho (0.703, 0.297, 0.248)
Ga (0.110, 0.890, 0.016)
Ga (0.274, 0.726, 0.219)
Ga (0.726, 0.274, 0.719)
Ga (0.890, 0.110, 0.516)

## Properties
symmetry	No. 36
energy above the most stable polymorph in this dataset	0.47	eV per formula unit
DFT formation energy	-0.419	eV per atom